CaGa4Pd2 | GGA-PBE | optimized geometry

The energy of formation comes out at -0.591 eV/atom. Its crystal system is orthorhombic. As for the energy above the most stable polymorph in this dataset: 0 meV per atom. Its total magnetization is 0.0 μB per formula unit. The value obtained for the volume is 126.4 Å³/f.u.

The space group is Pnma (No. 62) and the conventional cell measures 17.342, 4.412 and 6.609 Å, with angles of 90.00, 90.00 and 90.00 degrees. Symmetry generates all atoms from Ca at (0.140, 0.250, 0.014), Ga at (0.038, 0.750, 0.835), Ga at (0.071, 0.250, 0.482), Ga at (0.184, 0.750, 0.318), Ga at (0.188, 0.750, 0.722), Pd at (0.035, 0.750, 0.247) and Pd at (0.217, 0.250, 0.525).